# 1
Computed, not measured: a relaxed structure of Sr2SbW at the PBEsol level of DFT.

Summary:
D(E_F) = 0.6319 states/eV per atom
ΔE_f (raw) = 722.8 meV/atom
space group = R-3m (166)
crystal system = trigonal
total energy = -19.15 eV/cell

Cell: 10.815 10.815 10.815 Å, 17.99 17.99 17.99°
Element x y z (fractional)
Sr1 0.247 0.247 0.247
Sr2 0.753 0.753 0.753
Sb1 0.000 0.000 0.000
W1 0.500 0.500 0.500


# 2
Computed, not measured: a relaxed structure of Pr2FeSi3 at the PBEsol level of DFT.

Summary:
D(E_F) = 0.8682 states/eV per atom
ΔE_f (raw) = -527.0 meV/atom
space group = P-6m2 (187)
crystal system = hexagonal
total energy = -39.73 eV/cell

Cell: 4.037 4.037 8.438 Å, 90.00 90.00 120.00°
Element x y z (fractional)
Pr1 0.000 0.000 0.245
Pr2 0.000 0.000 0.755
Fe1 0.667 0.333 0.000
Si1 0.333 0.667 0.000
Si2 0.333 0.667 0.500
Si3 0.667 0.333 0.500


# 3
Computed, not measured: a relaxed structure of Li2Ni2S3 at the PBEsol level of DFT.

Summary:
D(E_F) = 0.6574 states/eV per atom
ΔE_f (raw) = -729.8 meV/atom
space group = C2/c (15)
crystal system = monoclinic
total energy = -138.04 eV/cell

Cell: 8.700 8.700 6.264 Å, 110.25 110.25 85.25°
Element x y z (fractional)
Li1 0.061 0.939 0.750
Li2 0.220 0.780 0.250
Li3 0.294 0.457 0.918
Li4 0.457 0.294 0.418
Li5 0.543 0.706 0.582
Li6 0.706 0.543 0.082
Li7 0.780 0.220 0.750
Li8 0.939 0.061 0.250
Ni1 0.060 0.578 0.395
Ni2 0.115 0.283 0.109
Ni3 0.283 0.115 0.609
Ni4 0.422 0.940 0.105
Ni5 0.578 0.060 0.895
Ni6 0.717 0.885 0.391
Ni7 0.885 0.717 0.891
Ni8 0.940 0.422 0.605
S1 0.079 0.228 0.729
S2 0.093 0.649 0.776
S3 0.228 0.079 0.229
S4 0.282 0.505 0.317
S5 0.351 0.907 0.724
S6 0.495 0.718 0.183
S7 0.505 0.282 0.817
S8 0.649 0.093 0.276
S9 0.718 0.495 0.683
S10 0.772 0.921 0.771
S11 0.907 0.351 0.224
S12 0.921 0.772 0.271


# 4
Computed, not measured: a relaxed structure of KSr2Mg at the PBEsol level of DFT.

Summary:
D(E_F) = 1.1267 states/eV per atom
E_form = 0.1485 eV per atom
space group = P4/mmm (123)
crystal system = tetragonal
total energy = -5.94 eV/cell

Cell: 6.001 6.001 5.040 Å, 90.00 90.00 90.00°
Element x y z (fractional)
K1 0.000 0.000 0.000
Sr1 0.000 0.500 0.500
Sr2 0.500 0.000 0.500
Mg1 0.500 0.500 0.000


# 5
Computed, not measured: a relaxed structure of ScAu at the PBEsol level of DFT.

Summary:
E_form = -0.6718 eV per atom
space group = Fd-3m (227)
crystal system = cubic
total energy = -23.75 eV/cell

Cell: 4.638 4.638 4.638 Å, 60.00 60.00 60.00°
Element x y z (fractional)
Sc1 0.125 0.125 0.125
Sc2 0.875 0.875 0.875
Au1 0.375 0.375 0.375
Au2 0.625 0.625 0.625


# 6
Computed, not measured: a relaxed structure of Li2PtAu at the PBEsol level of DFT.

Summary:
D(E_F) = 0.2110 states/eV per atom
E_form = -0.4040 eV per atom
space group = Pmm2 (25)
crystal system = orthorhombic
total energy = -16.44 eV/cell

Cell: 2.679 4.129 5.250 Å, 90.00 90.00 90.00°
Element x y z (fractional)
Li1 0.000 0.000 0.000
Li2 0.500 0.500 0.282
Pt1 0.000 0.000 0.495
Au1 0.500 0.500 0.775


# 7
Computed, not measured: a relaxed structure of Re2TcAs at the PBEsol level of DFT.

Summary:
D(E_F) = 0.6504 states/eV per atom
E_form = 0.4435 eV per atom
space group = C2/m (12)
crystal system = monoclinic
total energy = -41.26 eV/cell

Cell: 5.033 5.033 2.818 Å, 101.42 101.42 117.10°
Element x y z (fractional)
Re1 0.000 0.500 0.000
Re2 0.500 0.000 0.000
Tc1 0.000 0.000 0.500
As1 0.500 0.500 0.500


# 8
Computed, not measured: a relaxed structure of CaSi2Br at the PBEsol level of DFT.

Summary:
D(E_F) = 0.2709 states/eV per atom
ΔE_f (raw) = -686.6 meV/atom
space group = R3m (160)
crystal system = trigonal
total energy = -18.24 eV/cell
relative energy among the computed polymorphs = 0.0 meV/atom

Cell: 7.815 7.815 7.815 Å, 28.87 28.87 28.87°
Element x y z (fractional)
Ca1 0.000 0.000 0.000
Si1 0.241 0.241 0.241
Si2 0.544 0.544 0.544
Br1 0.743 0.743 0.743


# 9
Computed, not measured: a relaxed structure of ScAlRu2 at the PBEsol level of DFT.

Summary:
D(E_F) = 0.8762 states/eV per atom
E_form = -0.2906 eV per atom
space group = Immm (71)
crystal system = orthorhombic
total energy = -32.20 eV/cell

Cell: 4.944 4.944 4.944 Å, 143.44 122.71 69.91°
Element x y z (fractional)
Sc1 0.000 0.000 0.000
Al1 0.500 0.500 0.000
Ru1 0.257 0.757 0.500
Ru2 0.743 0.243 0.500


# 10
Computed, not measured: a relaxed structure of Zr2ScSe at the PBEsol level of DFT.

Summary:
D(E_F) = 1.1649 states/eV per atom
ΔE_f (raw) = -548.0 meV/atom
space group = R-3m (166)
crystal system = trigonal
total energy = -30.83 eV/cell

Cell: 8.996 8.996 8.996 Å, 21.65 21.65 21.65°
Element x y z (fractional)
Zr1 0.239 0.239 0.239
Zr2 0.761 0.761 0.761
Sc1 0.000 0.000 0.000
Se1 0.500 0.500 0.500


# 11
Computed, not measured: a relaxed structure of TeMo2W at the PBEsol level of DFT.

Summary:
D(E_F) = 0.9226 states/eV per atom
ΔE_f (raw) = 635.5 meV/atom
space group = C2/m (12)
crystal system = monoclinic
total energy = -38.33 eV/cell

Cell: 5.036 5.036 2.988 Å, 100.25 100.25 110.56°
Element x y z (fractional)
Te1 0.000 0.000 0.000
Mo1 0.000 0.500 0.500
Mo2 0.500 0.000 0.500
W1 0.500 0.500 0.000


# 12
Computed, not measured: a relaxed structure of MnCSeBr2 at the PBEsol level of DFT.

Summary:
D(E_F) = 0.3483 states/eV per atom
ΔE_f (raw) = 1065.8 meV/atom
space group = P4/mmm (123)
crystal system = tetragonal
total energy = -21.67 eV/cell

Cell: 4.537 4.537 4.526 Å, 90.00 90.00 90.00°
Element x y z (fractional)
Mn1 0.000 0.000 0.000
C1 0.500 0.500 0.500
Se1 0.500 0.500 0.000
Br1 0.000 0.500 0.500
Br2 0.500 0.000 0.500


# 13
Computed, not measured: a relaxed structure of SrLiMn2Cu at the PBEsol level of DFT.

Summary:
D(E_F) = 0.5755 states/eV per atom
E_form = 1.7952 eV per atom
space group = P4/mmm (123)
crystal system = tetragonal
total energy = -18.69 eV/cell

Cell: 5.484 5.484 5.172 Å, 90.00 90.00 90.00°
Element x y z (fractional)
Sr1 0.000 0.000 0.000
Li1 0.500 0.500 0.500
Mn1 0.000 0.500 0.000
Mn2 0.500 0.000 0.000
Cu1 0.000 0.000 0.500


# 14
Computed, not measured: a relaxed structure of Ca2TlCl at the PBEsol level of DFT.

Summary:
D(E_F) = 0.3032 states/eV per atom
ΔE_f (raw) = -1091.7 meV/atom
space group = P2/m (10)
crystal system = monoclinic
total energy = -13.27 eV/cell

Cell: 3.860 3.615 8.158 Å, 90.00 90.08 90.00°
Element x y z (fractional)
Ca1 0.001 0.000 0.233
Ca2 0.999 0.000 0.767
Tl1 0.500 0.500 0.000
Cl1 0.000 0.500 0.500


# 15
Computed, not measured: a relaxed structure of La2Y at the PBEsol level of DFT.

Summary:
D(E_F) = 1.6648 states/eV per atom
E_form = 0.0403 eV per atom
space group = Cm (8)
crystal system = monoclinic
total energy = -34.79 eV/cell
relative energy among the computed polymorphs = 28.4 meV/atom

Cell: 6.881 6.881 8.568 Å, 104.23 104.23 30.63°
Element x y z (fractional)
La1 0.000 0.000 0.000
La2 0.057 0.057 0.608
La3 0.335 0.335 0.672
La4 0.669 0.669 0.335
Y1 0.388 0.388 0.275
Y2 0.723 0.723 0.949


# 16
Computed, not measured: a relaxed structure of AlCdNi at the PBEsol level of DFT.

Summary:
D(E_F) = 0.3165 states/eV per atom
E_form = -0.2044 eV per atom
space group = I4mm (107)
crystal system = tetragonal
total energy = -12.06 eV/cell

Cell: 5.424 5.424 5.424 Å, 148.11 148.11 45.72°
Element x y z (fractional)
Al1 0.000 0.000 0.000
Cd1 0.708 0.708 0.000
Ni1 0.384 0.384 0.000


# 17
Computed, not measured: a relaxed structure of Ca2ZrC at the PBEsol level of DFT.

Summary:
D(E_F) = 1.0650 states/eV per atom
E_form = 0.4080 eV per atom
space group = I-42d (122)
crystal system = tetragonal
total energy = -42.74 eV/cell

Cell: 7.097 7.097 7.097 Å, 95.55 95.55 143.76°
Element x y z (fractional)
Ca1 0.375 0.222 0.347
Ca2 0.778 0.125 0.153
Ca3 0.875 0.028 0.653
Ca4 0.972 0.625 0.847
Zr1 0.250 0.750 0.500
Zr2 0.500 0.500 0.000
C1 0.000 0.000 0.000
C2 0.750 0.250 0.500


# 18
Computed, not measured: a relaxed structure of DyPbAu at the PBEsol level of DFT.

Summary:
D(E_F) = 0.0595 states/eV per atom
E_form = -0.7165 eV per atom
space group = F-43m (216)
crystal system = cubic
total energy = -15.05 eV/cell

Cell: 4.745 4.745 4.745 Å, 60.00 60.00 60.00°
Element x y z (fractional)
Dy1 0.000 0.000 0.000
Pb1 0.500 0.500 0.500
Au1 0.250 0.250 0.250


# 19
Computed, not measured: a relaxed structure of BaCuPb2 at the PBEsol level of DFT.

Summary:
D(E_F) = 0.4305 states/eV per atom
E_form = 0.0546 eV per atom
space group = Fm-3m (225)
crystal system = cubic
total energy = -14.26 eV/cell

Cell: 5.405 5.405 5.405 Å, 60.00 60.00 60.00°
Element x y z (fractional)
Ba1 0.000 0.000 0.000
Cu1 0.500 0.500 0.500
Pb1 0.250 0.250 0.250
Pb2 0.750 0.750 0.750


# 20
Computed, not measured: a relaxed structure of AsPb2Br at the PBEsol level of DFT.

Summary:
D(E_F) = 0.0582 states/eV per atom
ΔE_f (raw) = -357.6 meV/atom
space group = R-3m (166)
crystal system = trigonal
total energy = -16.40 eV/cell
relative energy among the computed polymorphs = 0.0 meV/atom

Cell: 7.714 7.714 7.714 Å, 32.53 32.53 32.53°
Element x y z (fractional)
As1 0.000 0.000 0.000
Pb1 0.262 0.262 0.262
Pb2 0.738 0.738 0.738
Br1 0.500 0.500 0.500